1.
# NiRu2Pt

An optimized crystal structure of NiRu2Pt (PBEsol, Alexandria).

Cell: 4.594 4.594 4.547 Å, 99.97 99.97 33.69°
Fractional coordinates of all 4 atoms:
Ni (0.000, 0.000, 0.000)
Ru (0.253, 0.253, 0.761)
Ru (0.747, 0.747, 0.239)
Pt (0.500, 0.500, 0.500)

**Space group**: C2/m (12)
**DOS at the Fermi energy**: 6.050 states/eV per cell
**Distance to the lowest polymorph of the same formula**: 0.087 eV per atom

---

2.
# Mg16Al12Ge

An optimized crystal structure of Mg16Al12Ge (PBEsol, Alexandria).

Cell: 9.016 9.016 9.016 Å, 109.24 109.24 109.24°
Fractional coordinates of all 29 atoms:
Mg (0.000, 0.000, 0.000)
Mg (0.003, 0.003, 0.655)
Mg (0.003, 0.405, 0.684)
Mg (0.003, 0.655, 0.003)
Mg (0.003, 0.684, 0.405)
Mg (0.296, 0.590, 0.590)
Mg (0.318, 0.318, 0.718)
Mg (0.318, 0.718, 0.318)
Mg (0.405, 0.003, 0.684)
Mg (0.405, 0.684, 0.003)
Mg (0.590, 0.296, 0.590)
Mg (0.590, 0.590, 0.296)
Mg (0.655, 0.003, 0.003)
Mg (0.684, 0.003, 0.405)
Mg (0.684, 0.405, 0.003)
Mg (0.718, 0.318, 0.318)
Al (0.185, 0.369, 0.999)
Al (0.185, 0.999, 0.369)
Al (0.192, 0.816, 0.816)
Al (0.369, 0.185, 0.999)
Al (0.369, 0.999, 0.185)
Al (0.643, 0.643, 0.832)
Al (0.643, 0.832, 0.643)
Al (0.816, 0.192, 0.816)
Al (0.816, 0.816, 0.192)
Al (0.832, 0.643, 0.643)
Al (0.999, 0.185, 0.369)
Al (0.999, 0.369, 0.185)
Ge (0.306, 0.306, 0.306)

**Electronic total energy**: -2.8210 eV per atom
**Space group**: R3m (160)
**DOS at the Fermi energy**: 9.981 states/eV per cell

---

3.
# Cd2AgSe

An optimized crystal structure of Cd2AgSe (PBEsol, Alexandria).

Cell: 3.067 3.067 8.451 Å, 90.00 90.00 90.00°
Fractional coordinates of all 4 atoms:
Cd (0.000, 0.000, 0.234)
Cd (0.000, 0.000, 0.766)
Ag (0.500, 0.500, 0.000)
Se (0.500, 0.500, 0.500)

**Energy relative to the elements, uncorrected**: 47 meV/atom
**Space group**: P4/mmm (123)
**DOS at the Fermi energy**: 1.834 states/eV per cell

---

4.
# BaMnRh2

An optimized crystal structure of BaMnRh2 (PBEsol, Alexandria).

Cell: 5.815 5.815 5.815 Å, 149.43 129.13 60.52°
Fractional coordinates of all 4 atoms:
Ba (0.000, 0.000, 0.000)
Mn (0.290, 0.790, 0.500)
Rh (0.499, 0.499, 0.000)
Rh (0.721, 0.221, 0.500)

**Electronic total energy**: -6.5126 eV per atom
**Space group**: Imm2 (44)
**DOS at the Fermi energy**: 3.586 states/eV per cell

---

5.
# CaMnPb2

An optimized crystal structure of CaMnPb2 (PBEsol, Alexandria).

Cell: 4.777 4.777 4.320 Å, 90.00 90.00 90.00°
Fractional coordinates of all 4 atoms:
Ca (0.000, 0.000, 0.000)
Mn (0.500, 0.500, 0.000)
Pb (0.000, 0.500, 0.500)
Pb (0.500, 0.000, 0.500)

**Electronic total energy**: -4.9090 eV per atom
**Space group**: P4/mmm (123)
**DOS at the Fermi energy**: 2.186 states/eV per cell

---

6.
# Y2CrRe

An optimized crystal structure of Y2CrRe (PBEsol, Alexandria).

Cell: 5.797 5.797 5.797 Å, 146.57 130.19 61.32°
Fractional coordinates of all 4 atoms:
Y (0.000, 0.000, 0.000)
Y (0.719, 0.219, 0.500)
Cr (0.280, 0.780, 0.500)
Re (0.443, 0.443, 0.000)

**Electronic total energy**: -9.0594 eV per atom
**Space group**: Imm2 (44)
**DOS at the Fermi energy**: 2.834 states/eV per cell

---

7.
# Ba2SrCa

An optimized crystal structure of Ba2SrCa (PBEsol, Alexandria).

Cell: 6.657 6.657 4.710 Å, 90.00 90.00 90.00°
Fractional coordinates of all 4 atoms:
Ba (0.000, 0.500, 0.000)
Ba (0.500, 0.000, 0.000)
Sr (0.000, 0.000, 0.500)
Ca (0.500, 0.500, 0.500)

**Space group**: P4/mmm (123)
**DOS at the Fermi energy**: 6.352 states/eV per cell
**Distance to the lowest polymorph of the same formula**: 0.007 eV per atom

---

8.
# K2ZnPt

An optimized crystal structure of K2ZnPt (PBEsol, Alexandria).

Cell: 9.030 9.030 9.030 Å, 27.55 27.55 27.55°
Fractional coordinates of all 4 atoms:
K (0.000, 0.000, 0.000)
K (0.171, 0.171, 0.171)
Zn (0.419, 0.419, 0.419)
Pt (0.752, 0.752, 0.752)

**Electronic total energy**: -2.8201 eV per atom
**Space group**: R3m (160)
**DOS at the Fermi energy**: 1.488 states/eV per cell

---

9.
# ScCr2Mo

An optimized crystal structure of ScCr2Mo (PBEsol, Alexandria).

Cell: 4.988 4.988 4.988 Å, 144.30 126.96 65.59°
Fractional coordinates of all 4 atoms:
Sc (0.000, 0.000, 0.000)
Cr (0.265, 0.765, 0.500)
Cr (0.735, 0.235, 0.500)
Mo (0.500, 0.500, 0.000)

**Space group**: Immm (71)
**DOS at the Fermi energy**: 4.820 states/eV per cell
**Distance to the lowest polymorph of the same formula**: 0.049 eV per atom

---

10.
# KMgAg2

An optimized crystal structure of KMgAg2 (PBEsol, Alexandria).

Cell: 6.412 6.412 6.412 Å, 152.52 129.83 58.15°
Fractional coordinates of all 4 atoms:
K (0.000, 0.000, 0.000)
Mg (0.298, 0.798, 0.500)
Ag (0.515, 0.515, 0.000)
Ag (0.724, 0.224, 0.500)

**Electronic total energy**: -2.2419 eV per atom
**Space group**: Imm2 (44)
**DOS at the Fermi energy**: 1.361 states/eV per cell

---

11.
# NiOsC2

An optimized crystal structure of NiOsC2 (PBEsol, Alexandria).

Cell: 3.677 3.677 3.677 Å, 60.00 60.00 60.00°
Fractional coordinates of all 4 atoms:
Ni (0.000, 0.000, 0.000)
Os (0.500, 0.500, 0.500)
C (0.250, 0.250, 0.250)
C (0.750, 0.750, 0.750)

**Electronic total energy**: -8.0239 eV per atom
**Space group**: Fm-3m (225)
**DOS at the Fermi energy**: 4.221 states/eV per cell

---

12.
# FePt2

An optimized crystal structure of FePt2 (PBEsol, Alexandria).

Cell: 6.057 6.057 3.855 Å, 90.00 90.00 143.59°
Fractional coordinates of all 6 atoms:
Fe (0.084, 0.916, 0.750)
Fe (0.916, 0.084, 0.250)
Pt (0.254, 0.746, 0.250)
Pt (0.422, 0.578, 0.750)
Pt (0.578, 0.422, 0.250)
Pt (0.746, 0.254, 0.750)

**Electronic total energy**: -7.8036 eV per atom
**Space group**: Cmcm (63)
**DOS at the Fermi energy**: 4.892 states/eV per cell